Entry 1:
A plane-wave DFT calculation with PBE-GGA was carried out for a relaxed BeSi2Au crystal.

- Raw total energy: -4.03 eV/atom
- Uncorrected formation energy: 436 meV per atom

POSCAR file:
```
BeSi2Au
1.0
-0.3521 -1.4402 -4.3948
3.9257 -2.3225 -0.8406
-3.0073 -0.4993 3.4956
Si Au Be
2 1 1
Cartesian
0.0000 0.0000 0.0000
1.3526 -2.3516 0.0186
1.7868 -1.8814 -2.6177
-0.7863 -1.9104 -1.7584
```


Entry 2:
A plane-wave DFT calculation with PBE-GGA was carried out for a relaxed BeSi2Au crystal.

- Raw total energy: -4.20 eV/atom
- Uncorrected formation energy: 263 meV per atom

POSCAR file:
```
BeSi2Au
1.0
-0.8177 2.3194 3.3216
-0.1696 -0.4108 4.1090
4.9967 1.9734 2.7295
Be Si Au
1 2 1
Cartesian
1.2982 1.2031 3.1032
3.9827 3.7115 9.5909
2.9753 2.8571 7.4575
1.7673 1.9333 5.2487
```


Entry 3:
A plane-wave DFT calculation with PBE-GGA was carried out for a relaxed BeSi3Au crystal.

- Raw total energy: -4.01 eV/atom
- Uncorrected formation energy: 644 meV per atom

POSCAR file:
```
BeSi3Au
1.0
4.3224 0.0000 0.0000
0.0000 4.3224 0.0000
0.0000 0.0000 4.3224
Be Si Au
1 3 1
Cartesian
0.0000 0.0000 0.0000
0.0000 2.1612 0.0000
2.1612 0.0000 0.0000
0.0000 0.0000 2.1612
2.1612 2.1612 2.1612
```


Entry 4:
A plane-wave DFT calculation with PBE-GGA was carried out for a relaxed BeSi2Au crystal.

- Raw total energy: -4.24 eV/atom
- Uncorrected formation energy: 221 meV per atom

POSCAR file:
```
BeSi2Au
1.0
3.1139 0.0000 0.0000
0.0000 3.4320 -0.0126
0.0000 1.7350 5.5660
Be Si Au
1 2 1
Cartesian
1.5570 3.6658 4.1508
0.0000 0.2102 0.0643
1.5570 1.9289 0.9742
0.0000 1.9455 3.1407
```


Entry 5:
A plane-wave DFT calculation with PBE-GGA was carried out for a relaxed BeSi2Au crystal.

- Raw total energy: -4.10 eV/atom
- Uncorrected formation energy: 365 meV per atom

POSCAR file:
```
BeSi2Au
1.0
4.2880 -0.0124 0.0000
-1.6220 3.9695 0.0000
0.0000 0.0000 3.5452
Si Au Be
2 1 1
Cartesian
1.3330 1.9786 0.0000
0.0000 0.0000 0.0000
2.1440 -0.0062 1.7726
-0.8110 1.9847 1.7726
```


Entry 6:
A plane-wave DFT calculation with PBE-GGA was carried out for a relaxed BeSi2Au crystal.

- Raw total energy: -4.27 eV/atom
- Uncorrected formation energy: 191 meV per atom

POSCAR file:
```
BeSi2Au
1.0
-2.8393 0.0399 -2.7384
2.6389 -1.0154 -2.7509
-1.5581 -8.0719 -1.3437
Au Si Be
2 4 2
Cartesian
-2.2488 -4.2598 -3.4134
0.0000 0.0000 0.0000
-1.6910 -2.1219 -2.2531
-1.4771 -6.8562 -5.6722
-1.1106 -6.4709 -3.2051
0.7616 -2.6456 -2.5357
-0.1002 -0.4877 -2.7447
0.4903 -4.7875 -3.4197
```